RbCuTe2PbS: relaxed, PBE.

The structure in POSCAR format:
```
RbCuTe2PbS
1.0
3.137 3.776 5.758
-6.160 -3.056 -3.158
2.297 -10.346 5.532
S Cu Rb Pb Te
2 2 2 2 4
direct
0.999 0.001 0.750
0.001 0.999 0.250
0.571 0.429 0.750
0.429 0.571 0.250
0.688 0.312 0.250
0.312 0.688 0.750
0.000 0.000 0.500
0.000 0.000 0.000
0.332 0.668 0.052
0.668 0.332 0.552
0.668 0.332 0.948
0.332 0.668 0.448
```

Output
**Symmetry**: Cmcm
**Total energy**: -3.5347 eV/atom

ErZnO3: relaxed, PBE.

The structure in POSCAR format:
```
ErZnO3
1.0
-3.339 1.731 -0.042
-1.682 -3.265 -0.810
-0.454 -0.777 4.077
O Zn Er
3 1 1
direct
0.000 0.500 0.645
0.500 0.000 0.645
0.500 0.500 0.092
0.500 0.500 0.559
0.000 0.000 0.960
```

Output
**Symmetry**: P4mm
**Total energy**: -6.0972 eV/atom

Sm2Er2BI5: relaxed, PBE.

The structure in POSCAR format:
```
Sm2Er2BI5
1.0
-7.262 6.212 -2.704
-5.979 4.800 -6.311
-4.400 -7.489 1.366
Sm Er B I
2 2 1 5
direct
0.001 0.001 0.800
0.999 0.999 0.200
0.369 0.369 0.935
0.631 0.631 0.065
0.500 0.500 0.000
0.830 0.830 0.165
0.500 0.500 0.500
0.170 0.170 0.835
0.834 0.834 0.670
0.166 0.166 0.330
```

Output
**Symmetry**: C2/m
**Total energy**: -4.3759 eV/atom

RbInPdSe3: relaxed, PBE.

The structure in POSCAR format:
```
RbInPdSe3
1.0
-4.921 6.822 -3.212
-2.831 -2.824 -1.660
-3.670 -1.558 8.906
Pd Rb Se In
2 2 6 2
direct
0.945 0.250 0.405
0.055 0.750 0.595
0.196 0.750 0.248
0.804 0.250 0.752
0.459 0.250 0.162
0.134 0.750 0.856
0.866 0.250 0.144
0.541 0.750 0.838
0.808 0.750 0.409
0.192 0.250 0.591
0.656 0.750 0.119
0.344 0.250 0.881
```

Output
**Polymorph energy (0 for the lowest one)**: 0 meV per atom
**Symmetry**: P2_1/m
**Total energy**: -3.8257 eV/atom

PrZnAsO: relaxed, PBE.

The structure in POSCAR format:
```
PrZnAsO
1.0
-4.069 -1.796 1.952
-1.596 -0.509 -3.796
2.791 -6.631 -0.285
Pr As Zn O
2 2 2 2
direct
0.500 0.258 0.106
0.500 0.742 0.606
0.000 0.738 0.271
0.000 0.262 0.771
0.000 0.763 0.938
0.000 0.237 0.438
0.500 0.759 0.939
0.500 0.241 0.439
```

Output
**Symmetry**: Pmc2_1
**Total energy**: -5.4974 eV/atom

PrAl3CuPt: relaxed, PBE.

The structure in POSCAR format:
```
PrAl3CuPt
1.0
-5.002 -0.694 2.117
4.423 -0.619 3.168
-0.143 4.052 0.991
Pt Al Pr Cu
1 3 1 1
direct
0.333 0.667 0.000
0.669 0.835 0.500
0.165 0.331 0.500
0.165 0.835 0.500
0.667 0.333 0.000
0.000 0.000 0.000
```

Output
**Symmetry**: P-6m2
**Total energy**: -5.0394 eV/atom

Sr2TbMo2: relaxed, PBE.

The structure in POSCAR format:
```
Sr2TbMo2
1.0
-4.567 -0.830 -0.746
0.914 -4.586 -0.494
0.880 1.785 7.443
Mo Sr Tb
2 2 1
direct
0.425 0.425 0.850
0.575 0.575 0.150
0.750 0.250 0.500
0.250 0.750 0.500
0.000 0.000 0.000
```

Output
**Polymorph energy (0 for the lowest one)**: 0 meV per atom
**Symmetry**: I4/mmm
**Total energy**: -5.0053 eV/atom

Co2CuSe4: relaxed, PBE.

The structure in POSCAR format:
```
Co2CuSe4
1.0
-0.584 4.236 -5.646
-6.499 -2.534 -1.228
-3.857 7.113 5.735
Se Co Cu
16 8 4
direct
0.760 0.014 0.009
0.014 0.240 0.759
0.014 0.760 0.741
0.490 0.761 0.750
0.240 0.986 0.509
0.490 0.239 0.750
0.239 0.510 0.500
0.761 0.510 0.500
0.510 0.761 0.250
0.240 0.014 0.991
0.986 0.760 0.259
0.760 0.986 0.491
0.986 0.240 0.241
0.510 0.239 0.250
0.239 0.490 0.000
0.761 0.490 0.000
0.246 0.754 0.125
0.749 0.000 0.250
0.754 0.246 0.625
0.246 0.246 0.375
0.754 0.754 0.875
0.000 0.749 0.500
0.000 0.251 0.000
0.251 0.000 0.750
0.500 0.253 0.000
0.500 0.747 0.500
0.253 0.500 0.750
0.747 0.500 0.250
```

Output
**Symmetry**: P4_122
**Total energy**: -4.7350 eV/atom

YLuIr: relaxed, PBE.

The structure in POSCAR format:
```
YLuIr
1.0
7.181 0.000 0.000
0.000 4.529 0.000
0.000 0.000 8.677
Ir Y Lu
4 4 4
direct
0.251 0.750 0.096
0.249 0.250 0.596
0.749 0.250 0.904
0.751 0.750 0.404
0.511 0.750 0.666
0.011 0.750 0.834
0.989 0.250 0.166
0.489 0.250 0.334
0.858 0.250 0.576
0.358 0.250 0.924
0.642 0.750 0.076
0.142 0.750 0.424
```

Output
**Polymorph energy (0 for the lowest one)**: 0 meV per atom
**Symmetry**: Pnma
**Total energy**: -7.3929 eV/atom

SmYZn2Pb2: relaxed, PBE.

The structure in POSCAR format:
```
SmYZn2Pb2
1.0
-1.579 -3.138 2.986
3.911 2.271 0.895
-8.439 11.520 7.646
Y Pb Zn Sm
2 4 4 2
direct
0.000 0.000 0.750
0.000 0.000 0.250
0.667 0.333 0.612
0.667 0.333 0.888
0.333 0.667 0.388
0.333 0.667 0.112
0.667 0.333 0.335
0.333 0.667 0.665
0.667 0.333 0.165
0.333 0.667 0.835
0.000 0.000 0.500
0.000 0.000 0.000
```

Output
**Polymorph energy (0 for the lowest one)**: 0 meV per atom
**Symmetry**: P6_3/mmc
**Total energy**: -3.9627 eV/atom

GaCo8: relaxed, PBE.

The structure in POSCAR format:
```
GaCo8
1.0
-2.933 -0.821 3.009
-2.323 -3.493 0.860
20.386 -9.236 17.265
Co Ga
16 2
direct
0.449 0.449 0.320
0.153 0.153 0.348
0.249 0.249 0.708
0.451 0.451 0.597
0.549 0.549 0.403
0.850 0.850 0.375
0.350 0.350 0.514
0.847 0.847 0.652
0.150 0.150 0.625
0.050 0.050 0.542
0.950 0.950 0.458
0.650 0.650 0.486
0.552 0.552 0.680
0.751 0.751 0.569
0.751 0.751 0.292
0.249 0.249 0.431
0.950 0.950 0.739
0.050 0.050 0.261
```

Output
**Symmetry**: C2/m
**Total energy**: -6.5451 eV/atom

HoTmI2O2: relaxed, PBE.

The structure in POSCAR format:
```
HoTmI2O2
1.0
9.927 -2.002 0.000
9.927 2.002 0.000
-0.535 0.000 7.611
O I Ho Tm
4 4 2 2
direct
0.755 0.755 0.871
0.245 0.245 0.129
0.755 0.755 0.380
0.245 0.245 0.620
0.101 0.101 0.849
0.578 0.578 0.344
0.422 0.422 0.656
0.899 0.899 0.151
0.304 0.304 0.886
0.696 0.696 0.114
0.697 0.697 0.616
0.303 0.303 0.384
```

Output
**Symmetry**: C2/m
**Total energy**: -6.4023 eV/atom

AlAsAuO: relaxed, PBE.

The structure in POSCAR format:
```
AlAsAuO
1.0
3.654 0.000 0.000
0.000 3.654 0.000
0.000 0.000 9.618
Au Al O As
2 2 2 2
direct
0.750 0.250 0.500
0.250 0.750 0.500
0.750 0.750 0.918
0.250 0.250 0.082
0.750 0.250 0.000
0.250 0.750 0.000
0.250 0.250 0.720
0.750 0.750 0.280
```

Output
**Polymorph energy (0 for the lowest one)**: 148 meV per atom
**Symmetry**: P4/nmm
**Total energy**: -4.9072 eV/atom

Cd2TeO: relaxed, PBE.

The structure in POSCAR format:
```
Cd2TeO
1.0
-2.340 -3.152 -0.976
1.178 0.534 3.833
-5.707 3.859 1.216
Te Cd O
1 2 1
direct
0.000 0.000 0.357
0.333 0.667 0.569
0.000 0.000 0.945
0.333 0.667 0.880
```

Output
**Polymorph energy (0 for the lowest one)**: 96 meV per atom
**Symmetry**: P3m1
**Total energy**: -2.9884 eV/atom

YErGa2Pt4: relaxed, PBE.

The structure in POSCAR format:
```
YErGa2Pt4
1.0
4.687 0.000 0.000
0.000 4.687 0.000
0.000 0.000 6.645
Ga Pt Er Y
2 4 1 1
direct
0.500 0.500 0.500
0.000 0.000 0.000
0.500 0.000 0.254
0.000 0.500 0.746
0.000 0.500 0.254
0.500 0.000 0.746
0.000 0.000 0.500
0.500 0.500 0.000
```

Output
**Polymorph energy (0 for the lowest one)**: 170 meV per atom
**Symmetry**: P4/mmm
**Total energy**: -6.0602 eV/atom

ScPd2O2: relaxed, PBE.

The structure in POSCAR format:
```
ScPd2O2
1.0
3.054 0.000 0.000
-1.527 2.645 0.000
0.000 0.000 16.024
O Sc Pd
4 2 4
direct
0.333 0.667 0.176
0.667 0.333 0.676
0.667 0.333 0.824
0.333 0.667 0.324
0.000 0.000 0.250
0.000 0.000 0.750
0.667 0.333 0.439
0.333 0.667 0.561
0.667 0.333 0.061
0.333 0.667 0.939
```

Output
**Symmetry**: P6_3/mmc
**Total energy**: -6.6296 eV/atom

Nd3AsS2: relaxed, PBE.

The structure in POSCAR format:
```
Nd3AsS2
1.0
4.149 0.000 0.000
-2.074 3.593 0.000
0.000 0.000 10.088
S As Nd
2 1 3
direct
0.333 0.667 0.838
0.667 0.333 0.162
0.000 0.000 0.500
0.000 0.000 0.000
0.333 0.667 0.329
0.667 0.333 0.671
```

Output
**Symmetry**: P-3m1
**Total energy**: -6.4040 eV/atom

Cs2AgOsSe4: relaxed, PBE.

The structure in POSCAR format:
```
Cs2AgOsSe4
1.0
0.000 7.118 12.518
3.238 0.000 12.518
3.238 7.118 0.000
Os Se Cs Ag
2 8 4 2
direct
0.250 0.250 0.250
0.000 0.000 0.000
0.424 0.184 0.886
0.744 0.364 0.066
0.886 0.506 0.424
0.066 0.826 0.744
0.184 0.424 0.506
0.826 0.066 0.364
0.364 0.744 0.826
0.506 0.886 0.184
0.180 0.180 0.820
0.430 0.430 0.070
0.070 0.070 0.430
0.820 0.820 0.180
0.500 0.500 0.500
0.750 0.750 0.750
```

Output
**Symmetry**: Fddd
**Total energy**: -4.1972 eV/atom

PaGeAu: relaxed, PBE.

The structure in POSCAR format:
```
PaGeAu
1.0
0.000 3.392 3.392
3.392 0.000 3.392
3.392 3.392 0.000
Pa Ge Au
1 1 1
direct
0.000 0.000 0.000
0.750 0.750 0.750
0.250 0.250 0.250
```

Output
**Symmetry**: F-43m
**Total energy**: -5.8471 eV/atom

Sr2CoMo: relaxed, PBE.

The structure in POSCAR format:
```
Sr2CoMo
1.0
-0.009 -4.256 -2.752
-3.730 -0.862 -3.321
0.941 0.198 -4.976
Sr Co Mo
2 1 1
direct
0.000 0.000 0.000
0.750 0.750 0.750
0.500 0.500 0.500
0.250 0.250 0.250
```

Output
**Polymorph energy (0 for the lowest one)**: 0 meV per atom
**Symmetry**: F-43m
**Total energy**: -4.1669 eV/atom